A plane-wave DFT calculation with PBE with a Hubbard U was carried out for a geometry-optimized VBiN2F structure.

relative energy among the computed polymorphs = 0 meV/atom
calculated total energy = -0.2236 Ha/atom
Fermi-level density of states = 0.58 states/eV/atom

Unit cell a=3.9854 b=3.9854 c=3.9004 alpha=90.00 beta=90.00 gamma=90.00
With the nearest neighbours (Å) after each atom.
Sites, in units of the cell vectors:
N 0.0000 0.5000 0.0000  2 V 1.99
N 0.5000 0.0000 0.0000  2 V 1.99
F 0.0000 0.0000 0.5000  2 V 1.95
Bi 0.5000 0.5000 0.5000  8 N 2.79, 4 F 2.82
V 0.0000 0.0000 0.0000  2 F 1.95, 4 N 1.99

---

A plane-wave DFT calculation with PBE with a Hubbard U was carried out for a geometry-optimized VBiN2F structure.

relative energy among the computed polymorphs = 1159 meV/atom
calculated total energy = -0.1810 Ha/atom
Fermi-level density of states = 0.48 states/eV/atom

Unit cell a=4.3453 b=4.3453 c=4.3079 alpha=90.00 beta=90.00 gamma=90.00
With the nearest neighbours (Å) after each atom.
Sites, in units of the cell vectors:
N 0.0000 0.5000 0.0000  2 Bi 2.17
N 0.5000 0.0000 0.0000  2 Bi 2.17
F 0.0000 0.0000 0.5000  2 Bi 2.15
Bi 0.0000 0.0000 0.0000  2 F 2.15, 4 N 2.17
V 0.5000 0.5000 0.5000  8 N 3.06, 4 F 3.07

---

A plane-wave DFT calculation with PBE with a Hubbard U was carried out for a geometry-optimized BiWNF2 structure.

relative energy among the computed polymorphs = 693 meV/atom
calculated total energy = -0.1712 Ha/atom
Fermi-level density of states = 0.17 states/eV/atom

Unit cell a=4.4647 b=4.4647 c=4.7338 alpha=90.00 beta=90.00 gamma=90.00
With the nearest neighbours (Å) after each atom.
Sites, in units of the cell vectors:
N 0.0000 0.0000 0.5000  2 Bi 2.37
Bi 0.0000 0.0000 0.0000  4 F 2.23, 2 N 2.37
W 0.5000 0.5000 0.5000  4 N 3.16, 8 F 3.25
F 0.0000 0.5000 0.0000  2 Bi 2.23
F 0.5000 0.0000 0.0000  2 Bi 2.23

---

A plane-wave DFT calculation with PBE with a Hubbard U was carried out for a geometry-optimized BiWNF2 structure.

relative energy among the computed polymorphs = 0 meV/atom
calculated total energy = -0.1967 Ha/atom
Fermi-level density of states = 0.44 states/eV/atom

Unit cell a=4.3324 b=4.3324 c=4.1768 alpha=90.00 beta=90.00 gamma=90.00
With the nearest neighbours (Å) after each atom.
Sites, in units of the cell vectors:
N 0.0000 0.0000 0.5000  2 W 2.09
Bi 0.5000 0.5000 0.5000  8 F 3.01, 4 N 3.06
W 0.0000 0.0000 0.0000  2 N 2.09, 4 F 2.17
F 0.0000 0.5000 0.0000  2 W 2.17
F 0.5000 0.0000 0.0000  2 W 2.17